A relaxed CsTmMo2O8 crystal. Source: the Alexandria database, functional PBE with a Hubbard U.

Computed properties:
Its total energy is -7.113 eV per atom. As for the crystal system: orthorhombic.

Cell lengths 5.065, 9.741, 8.091 Å; angles 90.00, 90.00, 90.00 degrees
Element x y z (fractional)
Cs 0.000 0.000 0.250
Cs 0.000 0.000 0.750
Tm 0.000 0.500 0.250
Tm 0.000 0.500 0.750
Mo 0.475 0.310 0.000
Mo 0.475 0.690 0.500
Mo 0.525 0.310 0.500
Mo 0.525 0.690 0.000
O 0.246 0.436 0.500
O 0.246 0.564 0.000
O 0.257 0.320 0.177
O 0.257 0.320 0.823
O 0.257 0.680 0.323
O 0.257 0.680 0.677
O 0.393 0.144 0.500
O 0.393 0.856 0.000
O 0.607 0.144 0.000
O 0.607 0.856 0.500
O 0.743 0.320 0.323
O 0.743 0.320 0.677
O 0.743 0.680 0.177
O 0.743 0.680 0.823
O 0.754 0.436 0.000
O 0.754 0.564 0.500